Record 1
VASP calculation (PBE) on a relaxed structure of SbSeCl2.

Calculated values
Its total moment is 0.00 μB per formula unit. The calculation puts the energy above the most stable polymorph in this dataset at 118 meV/atom. As for the space group: P4mm, No. 99. The calculation puts the total energy at -12.40 eV/cell. As for the raw formation energy: -0.275 eV per atom.

Unit cell a=4.250 b=4.250 c=7.370 alpha=90.00 beta=90.00 gamma=90.00
Fractional positions:
Cl  0.500  0.500  0.333
Cl  0.000  0.000  0.927
Sb  0.000  0.000  0.603
Se  0.500  0.500  0.638



Record 2
VASP calculation (PBE) on a relaxed structure of NaSnHgSb.

Calculated values
Its total moment is 0.00 μB per formula unit. The calculation puts the energy above the most stable polymorph in this dataset at 0 meV/atom. As for the space group: F-43m, No. 216. The calculation puts the total energy at -10.32 eV/cell. As for the raw formation energy: -0.144 eV per atom.

Unit cell a=5.383 b=5.383 c=5.383 alpha=60.00 beta=60.00 gamma=60.00
Fractional positions:
Hg  0.500  0.500  0.500
Na  0.750  0.750  0.750
Sn  0.250  0.250  0.250
Sb  0.000  0.000  0.000



Record 3
VASP calculation (PBE) on a relaxed structure of Nd2DyNi.

Calculated values
Its total moment is 0.00 μB per formula unit. The calculation puts the energy above the most stable polymorph in this dataset at 331 meV/atom. As for the space group: R-3m, No. 166. As for the energy of formation: 0.14 eV per atom. The calculation puts the total energy at -19.35 eV/cell.

Unit cell a=3.666 b=3.666 c=10.722 alpha=80.16 beta=80.16 gamma=60.00
Fractional positions:
Ni  0.500  0.500  0.500
Dy  0.000  0.000  0.000
Nd  0.110  0.110  0.670
Nd  0.890  0.890  0.330